1.
Below is HoBePd after structural relaxation, with properties calculated at the PBE-GGA level.

Properties
Size of the total moment = 0.00 μB per formula unit
ΔE to the lowest computed polymorph = 25 meV per atom
Total energy = -56.1 eV per cell

a = 6.0634 Å, b = 6.0634 Å, c = 6.0634 Å
α = 90.00°, β = 90.00°, γ = 90.00°
With the nearest neighbours (Å) after each atom.
Space group F-43m (No. 216)
Symmetry-distinct sites (fractional):
Ho 0.0000 0.0000 0.0000 [4 per cell]  4 Be 2.63
Be 0.2500 0.2500 0.2500 [4 per cell]  4 Ho 2.63, 4 Pd 2.63
Pd 0.0000 0.0000 0.5000 [4 per cell]  4 Be 2.63

2.
Below is HoBePt after structural relaxation, with properties calculated at the PBE-GGA level.

Properties
Size of the total moment = 0.00 μB per formula unit
ΔE to the lowest computed polymorph = 612 meV per atom
Total energy = -55.8 eV per cell

a = 6.4128 Å, b = 6.4128 Å, c = 6.4128 Å
α = 90.00°, β = 90.00°, γ = 90.00°
With the nearest neighbours (Å) after each atom.
Space group F-43m (No. 216)
Symmetry-distinct sites (fractional):
Ho 0.0000 0.0000 0.0000 [4 per cell]  4 Pt 2.78, 4 Be 2.78
Be 0.2500 0.2500 0.2500 [4 per cell]  4 Ho 2.78
Pt 0.2500 0.2500 0.7500 [4 per cell]  4 Ho 2.78

3.
Below is HoBePt after structural relaxation, with properties calculated at the PBE-GGA level.

Properties
Size of the total moment = 0.00 μB per formula unit
ΔE to the lowest computed polymorph = 30 meV per atom
Total energy = -62.8 eV per cell

a = 6.0327 Å, b = 6.0327 Å, c = 6.0327 Å
α = 90.00°, β = 90.00°, γ = 90.00°
With the nearest neighbours (Å) after each atom.
Space group F-43m (No. 216)
Symmetry-distinct sites (fractional):
Ho 0.0000 0.0000 0.0000 [4 per cell]  4 Be 2.61
Be 0.2500 0.2500 0.2500 [4 per cell]  4 Ho 2.61, 4 Pt 2.61
Pt 0.0000 0.0000 0.5000 [4 per cell]  4 Be 2.61

- Which value of total energy does entry 2 give?
  -55.8 eV per cell

- What is the formula in the first record?
  HoBePd